Entry from the Alexandria database: a relaxed LaSiCl2 crystal (GGA-PBEsol).

Unit cell a=3.3566 b=3.3566 c=9.9855 alpha=90.00 beta=90.00 gamma=90.00
Last column: nearest neighbours and their distance in Å.
Sites, in units of the cell vectors:
Cl  0.0000  0.0000  0.8339  4 La 2.90
Cl  0.0000  0.0000  0.1661  4 La 2.90
La  0.5000  0.5000  0.0000  8 Cl 2.90
Si  0.5000  0.5000  0.5000  4 Si 3.36

Results
Uncorrected formation energy: -3.311 eV/f.u.
Relative energy among the computed polymorphs: 209.5 meV per atom
Size of the total moment: 0.001 μB per atom